1.
# MnFe2W

A relaxed MnFe2W crystal (PBEsol, Alexandria).

Total energy = -10.19 eV/atom
SG = No. 12
ΔE_f = 0.183 eV per atom
Energy above the most stable polymorph in this dataset = 125 meV/atom

a = 2.570 Å, b = 4.355 Å, c = 4.406 Å
α = 99.82°, β = 90.00°, γ = 107.16°
Sites, in units of the cell vectors:
W1 0.000 0.000 0.500
Fe1 0.242 0.484 0.221
Fe2 0.758 0.516 0.779
Mn1 0.500 0.000 0.000

---

2.
# Pr3AlFeS7

A relaxed Pr3AlFeS7 crystal (PBEsol, Alexandria).

Total energy = -6.53 eV/atom
SG = No. 173
ΔE_f (raw) = -1590 meV/atom

a = 5.893 Å, b = 9.995 Å, c = 9.995 Å
α = 120.00°, β = 90.00°, γ = 90.00°
Site moments in Bohr magnetons follow the coordinates.
Sites, in units of the cell vectors:
S1 0.216 0.090 0.857  0.10
S2 0.963 0.333 0.667  0.00
S3 0.982 0.579 0.096  0.01
S4 0.482 0.483 0.579  0.01
S5 0.482 0.421 0.904  0.01
S6 0.463 0.667 0.333  0.00
S7 0.216 0.767 0.910  0.10
S8 0.982 0.904 0.483  0.01
S9 0.716 0.857 0.767  0.10
S10 0.482 0.096 0.517  0.01
S11 0.982 0.517 0.421  0.01
S12 0.716 0.233 0.090  0.10
S13 0.216 0.143 0.233  0.10
S14 0.716 0.910 0.143  0.10
Pr1 0.756 0.627 0.857  0.01
Pr2 0.256 0.857 0.231  0.01
Pr3 0.256 0.769 0.627  0.01
Pr4 0.756 0.231 0.373  0.01
Pr5 0.756 0.143 0.769  0.01
Pr6 0.256 0.373 0.143  0.01
Al1 0.337 0.333 0.667  0.00
Al2 0.837 0.667 0.333  0.00
Fe1 0.973 0.000 0.000  3.29
Fe2 0.473 0.000 0.000  3.29

---

3.
# YCr2Br

A relaxed YCr2Br crystal (PBEsol, Alexandria).

Total energy = -7.22 eV/atom
SG = No. 38
ΔE_f (raw) = 71 meV/atom

a = 3.167 Å, b = 3.194 Å, c = 7.605 Å
α = 102.09°, β = 90.00°, γ = 90.00°
Site moments in Bohr magnetons follow the coordinates.
Sites, in units of the cell vectors:
Cr1 0.000 0.221 0.065  2.50
Cr2 0.500 0.791 0.206  -2.00
Y1 0.000 0.426 0.477  0.29
Br1 0.500 0.062 0.751  0.01

---

4.
# BeRe2TcAg

A relaxed BeRe2TcAg crystal (PBEsol, Alexandria).

Total energy = -7.23 eV/atom
SG = No. 123
ΔE_f = 1.818 eV per atom

a = 4.134 Å, b = 4.623 Å, c = 4.623 Å
α = 90.00°, β = 90.00°, γ = 90.00°
Sites, in units of the cell vectors:
Ag1 0.500 0.500 0.500
Tc1 0.000 0.000 0.000
Re1 0.000 0.500 0.000
Re2 0.000 0.000 0.500
Be1 0.500 0.000 0.000

---

5.
# Sb

A relaxed Sb crystal (PBEsol, Alexandria).

Total energy = -4.16 eV/atom
SG = No. 227
ΔE_f (raw) = 394 meV/atom
Energy above the most stable polymorph in this dataset = 394 meV/atom

a = 4.864 Å, b = 4.864 Å, c = 4.864 Å
α = 60.00°, β = 60.00°, γ = 60.00°
Sites, in units of the cell vectors:
Sb1 0.000 0.000 0.000
Sb2 0.250 0.250 0.250

---

6.
# Zr6Ni7

A relaxed Zr6Ni7 crystal (PBEsol, Alexandria).

Total energy = -7.90 eV/atom
SG = No. 166
ΔE_f = -0.390 eV per atom

a = 4.966 Å, b = 4.966 Å, c = 9.549 Å
α = 74.93°, β = 74.93°, γ = 60.00°
Sites, in units of the cell vectors:
Ni1 0.588 0.588 0.725
Ni2 0.412 0.902 0.275
Ni3 0.902 0.412 0.275
Ni4 0.500 0.500 0.500
Ni5 0.412 0.412 0.275
Ni6 0.098 0.588 0.725
Ni7 0.588 0.098 0.725
Zr1 0.839 0.839 0.484
Zr2 0.668 0.668 0.996
Zr3 0.332 0.332 0.004
Zr4 0.054 0.054 0.839
Zr5 0.161 0.161 0.516
Zr6 0.946 0.946 0.161